1.
Entry from OQMD: crystalline Re10W3 at its relaxed geometry (PBE).

Cell: 9.4966 9.4966 9.4966 Å, 31.12 31.12 31.12°
Element x y z (fractional)
Re  0.0464  0.0464  0.0464
Re  0.0822  0.5882  0.5882
Re  0.3339  0.3339  0.3339
Re  0.4118  0.4118  0.9178
Re  0.4118  0.9178  0.4118
Re  0.5882  0.0822  0.5882
Re  0.5882  0.5882  0.0822
Re  0.6661  0.6661  0.6661
Re  0.9178  0.4118  0.4118
Re  0.9536  0.9536  0.9536
W  0.1532  0.1532  0.1532
W  0.5000  0.5000  0.5000
W  0.8468  0.8468  0.8468

Summary:
Crystal system: trigonal
Excess energy over the best structure of this formula in the dataset (meV/atom): 0
Energy of formation (eV per atom): 0.180

2.
Entry from OQMD: crystalline PmTc2 at its relaxed geometry (PBE).

Cell: 5.4652 5.4652 5.4652 Å, 60.00 60.00 60.00°
Element x y z (fractional)
Pm  0.1250  0.1250  0.1250
Pm  0.8750  0.8750  0.8750
Tc  0.0000  0.5000  0.5000
Tc  0.5000  0.0000  0.5000
Tc  0.5000  0.5000  0.0000
Tc  0.5000  0.5000  0.5000

Summary:
Crystal system: cubic
Excess energy over the best structure of this formula in the dataset (meV/atom): 0
Energy of formation (eV per atom): 0.010

3.
Entry from OQMD: crystalline NdNb2N4 at its relaxed geometry (PBE).

Cell: 5.4080 5.4080 10.4936 Å, 90.00 90.00 145.74°
Element x y z (fractional)
Nd  0.1155  0.8845  0.7500
Nd  0.8845  0.1155  0.2500
Nb  0.3707  0.6293  0.5653
Nb  0.3707  0.6293  0.9347
Nb  0.6293  0.3707  0.0653
Nb  0.6293  0.3707  0.4347
N  0.0000  0.0000  0.0000
N  0.0000  0.0000  0.5000
N  0.2663  0.7337  0.1101
N  0.2663  0.7337  0.3899
N  0.4330  0.5670  0.7500
N  0.5670  0.4330  0.2500
N  0.7337  0.2663  0.6101
N  0.7337  0.2663  0.8899

Summary:
Crystal system: orthorhombic

4.
Entry from OQMD: crystalline AcMgCd at its relaxed geometry (PBE).

Cell: 5.4254 5.4254 5.4254 Å, 60.00 60.00 60.00°
Element x y z (fractional)
Ac  0.0000  0.0000  0.0000
Mg  0.2500  0.2500  0.2500
Cd  0.7500  0.7500  0.7500

Summary:
Crystal system: cubic
Excess energy over the best structure of this formula in the dataset (meV/atom): 592

5.
Entry from OQMD: crystalline AcNbAu at its relaxed geometry (PBE).

Cell: 5.0399 5.0399 5.0399 Å, 60.00 60.00 60.00°
Element x y z (fractional)
Ac  0.0000  0.0000  0.0000
Nb  0.2500  0.2500  0.2500
Au  0.7500  0.7500  0.7500

Summary:
Crystal system: cubic
Excess energy over the best structure of this formula in the dataset (meV/atom): 403
Energy of formation (eV per atom): 1.003

6.
Entry from OQMD: crystalline Nd3AlGaNi4 at its relaxed geometry (PBE).

Cell: 5.4851 5.4851 8.2986 Å, 98.25 98.25 44.62°
Element x y z (fractional)
Nd  0.0000  0.0000  0.0000
Nd  0.3745  0.3745  0.6189
Nd  0.6234  0.6234  0.3779
Al  0.6777  0.6777  0.7854
Ga  0.3221  0.3221  0.2160
Ni  0.0838  0.0838  0.6363
Ni  0.2619  0.2619  0.9141
Ni  0.7370  0.7370  0.0848
Ni  0.9165  0.9165  0.3639

Summary:
Crystal system: monoclinic

| no. | electronic total energy (eV per atom) |
| --- | --- |
| 1 | -12.367 |
| 2 | -8.479 |
| 3 | -9.410 |
| 4 | -1.850 |
| 5 | -4.819 |
| 6 | -5.310 |